## LiZn2NiO (PBE+U)

Data for a relaxed LiZn2NiO crystal.

Energy = -1.7542 eV/atom

a = 4.424 Å, b = 4.282 Å, c = 4.424 Å
α = 90.00°, β = 90.00°, γ = 90.00°
Fractional positions:
Ni: 0.000 0.000 0.000
Zn: 0.000 0.000 0.500
Zn: 0.500 0.000 0.000
O: 0.500 0.500 0.500
Li: 0.000 0.500 0.000